# 1
Below is a relaxed MgScAlGa crystal, with properties calculated at the GGA-PBE level.

a b c (Å): 6.7450 6.7450 6.7450
angles (deg): 90.00 90.00 90.00
With the nearest neighbours (Å) after each atom.
Atoms (fractional coordinates):
1 Mg 0.0000 0.0000 0.0000  4 Al 2.92, 4 Ga 2.92
2 Mg 0.0000 0.5000 0.5000  4 Al 2.92, 4 Ga 2.92
3 Mg 0.5000 0.0000 0.5000  4 Al 2.92, 4 Ga 2.92
4 Mg 0.5000 0.5000 0.0000  4 Al 2.92, 4 Ga 2.92
5 Sc 0.0000 0.0000 0.5000  4 Ga 2.92, 4 Al 2.92
6 Sc 0.0000 0.5000 0.0000  4 Ga 2.92, 4 Al 2.92
7 Sc 0.5000 0.0000 0.0000  4 Ga 2.92, 4 Al 2.92
8 Sc 0.5000 0.5000 0.5000  4 Ga 2.92, 4 Al 2.92
9 Al 0.2500 0.2500 0.7500  4 Sc 2.92, 4 Mg 2.92
10 Al 0.2500 0.7500 0.2500  4 Sc 2.92, 4 Mg 2.92
11 Al 0.7500 0.2500 0.2500  4 Sc 2.92, 4 Mg 2.92
12 Al 0.7500 0.7500 0.7500  4 Sc 2.92, 4 Mg 2.92
13 Ga 0.2500 0.2500 0.2500  4 Mg 2.92, 4 Sc 2.92
14 Ga 0.2500 0.7500 0.7500  4 Mg 2.92, 4 Sc 2.92
15 Ga 0.7500 0.2500 0.7500  4 Mg 2.92, 4 Sc 2.92
16 Ga 0.7500 0.7500 0.2500  4 Mg 2.92, 4 Sc 2.92

Output
**Energy above the most stable polymorph in this dataset**: 149.3 meV/atom
**Crystal system**: cubic
**Energy**: -3.922 eV per atom
**Formation enthalpy at 0 K**: -0.25 eV/atom
**Space group**: F-43m (216)

---

# 2
Below is a relaxed La2TaNi crystal, with properties calculated at the GGA-PBE level.

a b c (Å): 3.4393 5.1308 11.2013
angles (deg): 90.00 90.00 90.00
With the nearest neighbours (Å) after each atom.
Atoms (fractional coordinates):
1 La 0.0000 0.0000 0.0000  4 Ta 3.24, 2 Ni 3.39, 4 La 3.43-3.44
2 La 0.0000 0.5000 0.2035  4 Ni 3.16, 4 La 3.43-3.44, 2 Ta 3.48
3 La 0.5000 0.0000 0.7035  4 Ni 3.16, 4 La 3.43-3.44, 2 Ta 3.48
4 La 0.5000 0.5000 0.5000  4 Ta 3.24, 2 Ni 3.39, 4 La 3.43-3.44
5 Ta 0.0000 0.0000 0.4130  2 Ni 2.42
6 Ta 0.5000 0.5000 0.9130  2 Ni 2.42
7 Ni 0.0000 0.5000 0.7611  2 Ta 2.42
8 Ni 0.5000 0.0000 0.2611  2 Ta 2.42

Output
**Energy above the most stable polymorph in this dataset**: 60.6 meV/atom
**Crystal system**: orthorhombic
**Energy**: -6.742 eV per atom
**Formation enthalpy at 0 K**: 0.13 eV/atom
**Space group**: Imm2 (44)

---

What did the first record say?
Below is a relaxed MgScAlGa crystal, with properties calculated at the GGA-PBE level.

a b c (Å): 6.7450 6.7450 6.7450
angles (deg): 90.00 90.00 90.00
With the nearest neighbours (Å) after each atom.
Atoms (fractional coordinates):
1 Mg 0.0000 0.0000 0.0000  4 Al 2.92, 4 Ga 2.92
2 Mg 0.0000 0.5000 0.5000  4 Al 2.92, 4 Ga 2.92
3 Mg 0.5000 0.0000 0.5000  4 Al 2.92, 4 Ga 2.92
4 Mg 0.5000 0.5000 0.0000  4 Al 2.92, 4 Ga 2.92
5 Sc 0.0000 0.0000 0.5000  4 Ga 2.92, 4 Al 2.92
6 Sc 0.0000 0.5000 0.0000  4 Ga 2.92, 4 Al 2.92
7 Sc 0.5000 0.0000 0.0000  4 Ga 2.92, 4 Al 2.92
8 Sc 0.5000 0.5000 0.5000  4 Ga 2.92, 4 Al 2.92
9 Al 0.2500 0.2500 0.7500  4 Sc 2.92, 4 Mg 2.92
10 Al 0.2500 0.7500 0.2500  4 Sc 2.92, 4 Mg 2.92
11 Al 0.7500 0.2500 0.2500  4 Sc 2.92, 4 Mg 2.92
12 Al 0.7500 0.7500 0.7500  4 Sc 2.92, 4 Mg 2.92
13 Ga 0.2500 0.2500 0.2500  4 Mg 2.92, 4 Sc 2.92
14 Ga 0.2500 0.7500 0.7500  4 Mg 2.92, 4 Sc 2.92
15 Ga 0.7500 0.2500 0.7500  4 Mg 2.92, 4 Sc 2.92
16 Ga 0.7500 0.7500 0.2500  4 Mg 2.92, 4 Sc 2.92

Output
**Energy above the most stable polymorph in this dataset**: 149.3 meV/atom
**Crystal system**: cubic
**Energy**: -3.922 eV per atom
**Formation enthalpy at 0 K**: -0.25 eV/atom
**Space group**: F-43m (216)